No. 1
This record from the Alexandria database describes RbNi3Bi after structural relaxation. The functional is PBE.

Computed properties:
Its crystal system is cubic. The value obtained for the formation enthalpy at 0 K is 1824 meV/atom. As for the space group: Pm-3m, No. 221. The energy above the lowest structure with this stoichiometry is 1.030 eV/atom. The final energy comes out at -13.07 eV/cell.

Cell: 4.7520 4.7520 4.7520 Å, 90.00 90.00 90.00°
Last column: nearest neighbours and their distance in Å.
Element x y z (fractional)
1 Bi 0.5000 0.5000 0.5000  12 Ni 3.36
2 Rb 0.0000 0.0000 0.0000  6 Ni 2.38
3 Ni 0.0000 0.5000 0.0000  2 Rb 2.38
4 Ni 0.0000 0.0000 0.5000  2 Rb 2.38
5 Ni 0.5000 0.0000 0.0000  2 Rb 2.38

No. 2
This record from the Alexandria database describes LaHoInPt after structural relaxation. The functional is PBE.

Computed properties:
Its crystal system is cubic. The value obtained for the formation enthalpy at 0 K is -686 meV/atom. As for the space group: F-43m, No. 216. The final energy comes out at -21.03 eV/cell.

Cell: 5.2577 5.2577 5.2577 Å, 60.00 60.00 60.00°
Last column: nearest neighbours and their distance in Å.
Element x y z (fractional)
1 Pt 0.7500 0.7500 0.7500  4 La 3.22, 4 Ho 3.22
2 In 0.2500 0.2500 0.2500  4 Ho 3.22, 4 La 3.22
3 Ho 0.0000 0.0000 0.0000  4 Pt 3.22, 4 In 3.22
4 La 0.5000 0.5000 0.5000  4 In 3.22, 4 Pt 3.22

No. 3
This record from the Alexandria database describes Ac2Al2Ni after structural relaxation. The functional is PBE.

Computed properties:
Its crystal system is monoclinic. The value obtained for the formation enthalpy at 0 K is -327 meV/atom. As for the space group: C2/c, No. 15. The final energy comes out at -46.24 eV/cell.

Cell: 6.5687 6.6809 7.0471 Å, 105.33 90.00 119.45°
Last column: nearest neighbours and their distance in Å.
Element x y z (fractional)
1 Al 0.0170 0.8207 0.5298  2 Ni 2.45-2.54, 1 Al 2.65
2 Al 0.8037 0.8207 0.0298  2 Ni 2.45-2.54, 1 Al 2.65
3 Ac 0.4374 0.6857 0.3741  1 Ni 3.11, 5 Al 3.37-3.48
4 Ac 0.7517 0.3143 0.1259  1 Ni 3.11, 5 Al 3.37-3.48
5 Ni 0.1785 0.0000 0.2500  4 Al 2.45-2.54
6 Al 0.9830 0.1793 0.4702  2 Ni 2.45-2.54, 1 Al 2.65
7 Ni 0.8215 0.0000 0.7500  4 Al 2.45-2.54
8 Ac 0.2483 0.6857 0.8741  1 Ni 3.11, 5 Al 3.37-3.48
9 Al 0.1963 0.1793 0.9702  2 Ni 2.45-2.54, 1 Al 2.65
10 Ac 0.5626 0.3143 0.6259  1 Ni 3.11, 5 Al 3.37-3.48

No. 4
This record from the Alexandria database describes Ca2VZnC after structural relaxation. The functional is PBE.

Computed properties:
Its crystal system is tetragonal. The value obtained for the formation enthalpy at 0 K is 1716 meV/atom. As for the space group: P4/mmm, No. 123. The final energy comes out at -15.04 eV/cell.

Cell: 5.4272 4.5652 5.4272 Å, 90.00 90.00 90.00°
Last column: nearest neighbours and their distance in Å.
Element x y z (fractional)
1 V 0.0000 0.5000 0.0000  2 Zn 2.28
2 Ca 0.5000 0.0000 0.0000  2 Zn 2.71
3 C 0.5000 0.5000 0.5000  8 Ca 3.55, 4 V 3.84
4 Ca 0.0000 0.0000 0.5000  2 Zn 2.71
5 Zn 0.0000 0.0000 0.0000  2 V 2.28

No. 5
This record from the Alexandria database describes ReSb2PI after structural relaxation. The functional is PBE.

Computed properties:
Its crystal system is tetragonal. As for the space group: P4/mmm, No. 123. The energy above the lowest structure with this stoichiometry is 0.473 eV/atom. The final energy comes out at -19.93 eV/cell.

Cell: 5.2271 5.2271 5.1456 Å, 90.00 90.00 90.00°
Last column: nearest neighbours and their distance in Å.
Element x y z (fractional)
1 Sb 0.5000 0.0000 0.0000  2 P 2.61
2 I 0.0000 0.0000 0.5000  2 P 2.57
3 Sb 0.0000 0.5000 0.0000  2 P 2.61
4 Re 0.5000 0.5000 0.5000  8 Sb 3.67, 4 I 3.70
5 P 0.0000 0.0000 0.0000  2 I 2.57, 4 Sb 2.61

No. 6
This record from the Alexandria database describes ScHgP2 after structural relaxation. The functional is PBE.

Computed properties:
Its crystal system is tetragonal. The value obtained for the formation enthalpy at 0 K is -262 meV/atom. As for the space group: P4/mmm, No. 123. The final energy comes out at -18.50 eV/cell.

Cell: 4.4801 4.4801 3.5793 Å, 90.00 90.00 90.02°
Last column: nearest neighbours and their distance in Å.
Element x y z (fractional)
1 Sc 0.5000 0.0000 0.5000  8 P 2.87, 4 Hg 3.17
2 P 0.5000 0.5000 0.0000  4 Hg 2.87, 4 Sc 2.87, 4 P 3.17
3 P 0.0000 0.0000 0.0000  4 Sc 2.87, 4 Hg 2.87, 4 P 3.17
4 Hg 0.0000 0.5000 0.5000  8 P 2.87, 4 Sc 3.17

No. 7
This record from the Alexandria database describes Rb5CuF8 after structural relaxation. The functional is PBE.

Computed properties:
Its crystal system is tetragonal. As for the space group: I-4, No. 82. The final energy comes out at -56.10 eV/cell.

Cell: 7.3040 7.3040 7.3040 Å, 112.13 104.28 112.13°
Last column: nearest neighbours and their distance in Å.
Element x y z (fractional)
1 F 0.2061 0.6889 0.9539  1 Cu 1.80
2 F 0.1031 0.7966 0.5188  5 Rb 2.72-2.83
3 F 0.7222 0.2034 0.3065  5 Rb 2.72-2.83
4 Rb 0.3850 0.1432 0.9722  5 F 2.72-3.01
5 Rb 0.8290 0.8568 0.2418  5 F 2.72-3.01
6 F 0.2650 0.3111 0.5172  1 Cu 1.80
7 Rb 0.7582 0.5872 0.6150  5 F 2.72-3.01
8 F 0.6935 0.4157 0.8969  5 Rb 2.72-2.83
9 F 0.0461 0.2521 0.7350  1 Cu 1.80
10 F 0.4828 0.7479 0.7939  1 Cu 1.80
11 Rb 0.5000 0.0000 0.5000  4 F 2.78
12 Rb 0.0278 0.4128 0.1710  5 F 2.72-3.01
13 F 0.4812 0.5843 0.2778  5 Rb 2.72-2.83
14 Cu 0.2500 0.5000 0.7500  4 F 1.80

No. 8
This record from the Alexandria database describes BiHNO2 after structural relaxation. The functional is PBE.

Computed properties:
Its crystal system is tetragonal. As for the space group: P4/mmm, No. 123. The final energy comes out at -20.19 eV/cell.

Cell: 4.2286 4.2286 4.6417 Å, 90.00 90.00 90.00°
Last column: nearest neighbours and their distance in Å.
Element x y z (fractional)
1 O 0.0000 0.5000 0.0000  2 Bi 2.11
2 Bi 0.0000 0.0000 0.0000  4 O 2.11, 2 N 2.32
3 N 0.0000 0.0000 0.5000  2 Bi 2.32
4 O 0.5000 0.0000 0.0000  2 Bi 2.11
5 H 0.5000 0.5000 0.5000  4 N 2.99, 8 O 3.14

No. 9
This record from the Alexandria database describes Tm3GaRh8 after structural relaxation. The functional is PBE.

Computed properties:
Its crystal system is trigonal. The value obtained for the formation enthalpy at 0 K is -615 meV/atom. As for the space group: R3m, No. 160. The final energy comes out at -82.63 eV/cell.

Cell: 5.2540 5.2540 9.1450 Å, 73.31 73.31 60.00°
Last column: nearest neighbours and their distance in Å.
Element x y z (fractional)
1 Rh 0.0619 0.5604 0.3158  6 Rh 2.62-2.64
2 Rh 0.5604 0.0619 0.3158  6 Rh 2.62-2.64
3 Rh 0.3117 0.3117 0.0649  6 Rh 2.64-2.65
4 Rh 0.0619 0.0619 0.3158  6 Rh 2.62-2.64
5 Rh 0.5624 0.5624 0.8134  6 Rh 2.61-2.65
6 Rh 0.0618 0.5624 0.8134  6 Rh 2.61-2.65
7 Ga 0.1303 0.1303 0.6092  12 Rh 2.95-3.16, 4 Tm 3.14-3.18
8 Tm 0.6240 0.6240 0.1280  12 Rh 3.08-3.11, 4 Tm 3.30-3.34
9 Tm 0.0073 0.0073 0.9780  12 Rh 2.99-3.29, 1 Ga 3.18, 3 Tm 3.30
10 Rh 0.8112 0.8112 0.5664  6 Rh 2.61-2.64
11 Tm 0.4948 0.4948 0.5157  12 Rh 2.98-3.14, 3 Ga 3.14
12 Rh 0.5624 0.0618 0.8134  6 Rh 2.61-2.65

No. 10
This record from the Alexandria database describes Mn2ReAs after structural relaxation. The functional is PBE.

Computed properties:
Its crystal system is tetragonal. The value obtained for the formation enthalpy at 0 K is 88 meV/atom. As for the space group: P4/mmm, No. 123. The final energy comes out at -35.09 eV/cell.

Cell: 2.8482 2.8482 6.2369 Å, 90.00 90.00 90.00°
Last column: nearest neighbours and their distance in Å.
Element x y z (fractional)
1 Mn 0.0000 0.0000 0.5182  4 As 2.48, 4 Re 2.62
2 Mn 0.0000 0.0000 0.9818  4 As 2.48, 4 Re 2.62
3 As 0.5000 0.5000 0.7500  8 Mn 2.48
4 Re 0.5000 0.5000 0.2500  8 Mn 2.62, 4 Re 2.85

No. 11
This record from the Alexandria database describes UBe2Pt after structural relaxation. The functional is PBE.

Computed properties:
Its crystal system is tetragonal. The value obtained for the formation enthalpy at 0 K is -283 meV/atom. As for the space group: P4/mmm, No. 123. The final energy comes out at -25.91 eV/cell.

Cell: 2.8153 2.8153 6.9311 Å, 90.00 90.00 90.00°
Last column: nearest neighbours and their distance in Å.
Element x y z (fractional)
1 Be 0.0000 0.0000 0.8060  4 Pt 2.40, 1 Be 2.69
2 Be 0.0000 0.0000 0.1940  4 Pt 2.40, 1 Be 2.69
3 Pt 0.5000 0.5000 0.0000  8 Be 2.40
4 U 0.5000 0.5000 0.5000  4 U 2.82, 8 Be 2.91

No. 12
This record from the Alexandria database describes SrIn4P after structural relaxation. The functional is PBE.

Computed properties:
Its crystal system is orthorhombic. The value obtained for the formation enthalpy at 0 K is -184 meV/atom. As for the space group: Pmma, No. 51. The energy above the lowest structure with this stoichiometry is 0.000 eV/atom. The final energy comes out at -38.30 eV/cell.

Cell: 5.0416 8.5873 7.4719 Å, 90.00 90.00 90.00°
Last column: nearest neighbours and their distance in Å.
Element x y z (fractional)
1 Sr 0.0000 0.3622 0.7500  1 P 2.99
2 In 0.5000 0.0522 0.7500  8 In 3.17-3.49
3 Sr 0.0000 0.6378 0.2500  1 P 2.99
4 In 0.5000 0.6840 0.5512  2 P 2.93, 3 In 2.97-3.25
5 P 0.0000 0.7101 0.7500  6 In 2.93-3.11, 1 Sr 2.99
6 P 0.0000 0.2899 0.2500  6 In 2.93-3.11, 1 Sr 2.99
7 In 0.0000 0.0000 0.5000  2 P 3.11, 4 In 3.17
8 In 0.5000 0.3160 0.4488  2 P 2.93, 3 In 2.97-3.25
9 In 0.0000 0.0000 0.0000  2 P 3.11, 4 In 3.17
10 In 0.5000 0.9478 0.2500  8 In 3.17-3.49
11 In 0.5000 0.3160 0.0512  2 P 2.93, 3 In 2.97-3.25
12 In 0.5000 0.6840 0.9488  2 P 2.93, 3 In 2.97-3.25